Material: AgIr2Rh
Method: DFT, GGA-PBEsol
State: optimized geometry

Unit cell a=2.694 b=2.698 c=9.371 alpha=90.00 beta=90.00 gamma=119.95
Atoms (fractional coordinates):
Ag (0.500, 0.000, 0.748)
Rh (0.000, 0.000, 0.491)
Ir (0.500, 0.000, 0.251)
Ir (0.000, 0.000, 0.010)

Properties
magnetic moment: 0.000 μB per atom
electronic total energy: -7.44 eV/atom
energy above the lowest structure with this stoichiometry: 201.2 meV/atom
space-group type: Cmm2
crystal system: orthorhombic

Material: AgIrRh2
Method: DFT, GGA-PBEsol
State: optimized geometry

Unit cell a=2.705 b=4.719 c=4.719 alpha=108.90 beta=90.00 gamma=90.00
Atoms (fractional coordinates):
Ir (0.500, 0.500, 0.500)
Rh (0.000, 0.000, 0.500)
Rh (0.000, 0.500, 0.000)
Ag (0.500, 0.000, 0.000)

Properties
magnetic moment: 0.001 μB per atom
electronic total energy: -7.10 eV/atom
energy above the lowest structure with this stoichiometry: 148.5 meV/atom
space-group type: Cmmm
crystal system: orthorhombic

Material: AgIr2Rh
Method: DFT, GGA-PBEsol
State: optimized geometry

Unit cell a=2.712 b=3.855 c=5.512 alpha=90.00 beta=90.00 gamma=90.00
Atoms (fractional coordinates):
Ir (0.000, 0.000, 0.239)
Ag (0.500, 0.500, 0.500)
Ir (0.000, 0.000, 0.761)
Rh (0.500, 0.500, 0.000)

Properties
magnetic moment: 0.000 μB per atom
electronic total energy: -7.48 eV/atom
energy above the lowest structure with this stoichiometry: 167.8 meV/atom
space-group type: Pmmm
crystal system: orthorhombic